Bi2BrO3: relaxed, PBE-GGA.

Results
Magnetic moment ... 0.00 μB/cell
Energy ... -30.111 eV/f.u.
Space-group type ... No. 12
Distance to the lowest polymorph of the same formula ... 0 meV per atom
E_form (uncorrected) ... -967 meV per atom
ρ ... 7.89 g cm⁻³

Unit cell a=7.0968 b=7.0968 c=9.0803 alpha=105.79 beta=105.79 gamma=31.57
With the nearest neighbours (Å) after each atom.
Element x y z (fractional)
Bi1 0.0127 0.0127 0.2190  4 O 2.29-2.43
Bi2 0.3474 0.3474 0.4316  6 O 2.21-2.46
Bi3 0.6526 0.6526 0.5684  6 O 2.21-2.46
Bi4 0.9873 0.9873 0.7810  4 O 2.29-2.43
Br1 0.3649 0.3649 0.9725  4 Bi 3.20-3.35, 1 O 3.55, 1 Br 3.58
Br2 0.6351 0.6351 0.0275  4 Bi 3.20-3.35, 1 O 3.55, 1 Br 3.58
O1 0.1239 0.1239 0.6811  3 Bi 2.27-2.29
O2 0.1765 0.1765 0.4146  4 Bi 2.30-2.46
O3 0.4772 0.4772 0.6425  3 Bi 2.21-2.29
O4 0.5228 0.5228 0.3575  3 Bi 2.21-2.29
O5 0.8235 0.8235 0.5854  4 Bi 2.30-2.46
O6 0.8761 0.8761 0.3189  3 Bi 2.27-2.29

Sr2Tl6Pb: relaxed, PBE-GGA.

Results
Magnetic moment ... 0.00 μB/cell
Energy ... -22.063 eV/f.u.
Space-group type ... No. 160
Distance to the lowest polymorph of the same formula ... 104 meV per atom
ΔE_f ... -0.8 eV/f.u.
ρ ... 8.22 g cm⁻³

Unit cell a=8.7234 b=8.7234 c=8.7234 alpha=47.05 beta=47.05 gamma=47.05
With the nearest neighbours (Å) after each atom.
Element x y z (fractional)
Sr1 0.0000 0.0000 0.0000  9 Tl 3.50-3.63
Sr2 0.1905 0.1905 0.1905  9 Tl 3.49-3.66
Tl1 0.1870 0.7079 0.7079  1 Pb 3.27, 6 Tl 3.34-3.63, 3 Sr 3.49-3.63
Tl2 0.4935 0.4935 0.9728  1 Pb 3.24, 6 Tl 3.34-3.63, 2 Sr 3.50
Tl3 0.4935 0.9728 0.4935  1 Pb 3.24, 6 Tl 3.34-3.63, 2 Sr 3.50
Tl4 0.7079 0.1870 0.7079  1 Pb 3.27, 6 Tl 3.34-3.63, 3 Sr 3.49-3.63
Tl5 0.7079 0.7079 0.1870  1 Pb 3.27, 6 Tl 3.34-3.63, 3 Sr 3.49-3.63
Tl6 0.9728 0.4935 0.4935  1 Pb 3.24, 6 Tl 3.34-3.63, 2 Sr 3.50
Pb1 0.4263 0.4263 0.4263  6 Tl 3.24-3.27

Ho3Ni7As4: relaxed, PBE-GGA.

Results
Magnetic moment ... 0.00 μB/cell
Energy ... -83.230 eV/f.u.
Space-group type ... No. 12
ΔE_f ... -10.4 eV/f.u.
ρ ... 9.38 g cm⁻³

Unit cell a=7.6793 b=7.6793 c=8.9763 alpha=124.42 beta=124.42 gamma=29.81
With the nearest neighbours (Å) after each atom.
Element x y z (fractional)
Ho1 0.0000 0.0000 0.0000  6 As 2.85-3.00, 2 Ni 2.97
Ho2 0.3226 0.3226 0.3320  10 Ni 2.83-3.13, 4 As 2.88-2.92
Ho3 0.6774 0.6774 0.6680  10 Ni 2.83-3.13, 4 As 2.88-2.92
Ni1 0.0000 0.0000 0.5000  2 As 2.39
Ni2 0.1441 0.1441 0.4076  3 As 2.40-2.57, 2 Ni 2.59
Ni3 0.3110 0.3110 0.9723  4 As 2.43-2.48, 1 Ni 2.60
Ni4 0.4951 0.4951 0.7132  3 As 2.41-2.43, 3 Ni 2.59-2.60
Ni5 0.5049 0.5049 0.2868  3 As 2.41-2.43, 3 Ni 2.59-2.60
Ni6 0.6890 0.6890 0.0277  4 As 2.43-2.48, 1 Ni 2.60
Ni7 0.8559 0.8559 0.5924  3 As 2.40-2.57, 2 Ni 2.59
As1 0.1124 0.1124 0.8287  6 Ni 2.39-2.45
As2 0.3352 0.3352 0.7208  5 Ni 2.40-2.57
As3 0.6648 0.6648 0.2792  5 Ni 2.40-2.57
As4 0.8876 0.8876 0.1713  6 Ni 2.39-2.45

Repeat the first record exactly.
Bi2BrO3: relaxed, PBE-GGA.

Results
Magnetic moment ... 0.00 μB/cell
Energy ... -30.111 eV/f.u.
Space-group type ... No. 12
Distance to the lowest polymorph of the same formula ... 0 meV per atom
E_form (uncorrected) ... -967 meV per atom
ρ ... 7.89 g cm⁻³

Unit cell a=7.0968 b=7.0968 c=9.0803 alpha=105.79 beta=105.79 gamma=31.57
With the nearest neighbours (Å) after each atom.
Element x y z (fractional)
Bi1 0.0127 0.0127 0.2190  4 O 2.29-2.43
Bi2 0.3474 0.3474 0.4316  6 O 2.21-2.46
Bi3 0.6526 0.6526 0.5684  6 O 2.21-2.46
Bi4 0.9873 0.9873 0.7810  4 O 2.29-2.43
Br1 0.3649 0.3649 0.9725  4 Bi 3.20-3.35, 1 O 3.55, 1 Br 3.58
Br2 0.6351 0.6351 0.0275  4 Bi 3.20-3.35, 1 O 3.55, 1 Br 3.58
O1 0.1239 0.1239 0.6811  3 Bi 2.27-2.29
O2 0.1765 0.1765 0.4146  4 Bi 2.30-2.46
O3 0.4772 0.4772 0.6425  3 Bi 2.21-2.29
O4 0.5228 0.5228 0.3575  3 Bi 2.21-2.29
O5 0.8235 0.8235 0.5854  4 Bi 2.30-2.46
O6 0.8761 0.8761 0.3189  3 Bi 2.27-2.29